1.
## ThCdI6 (PBE)

Data for ThCdI6 after structural relaxation.

Computed properties:
* theoretical density: 4.44 g/cm³
* SG: No. 12
* crystal system: monoclinic
* E_form (uncorrected): -0.96 eV/atom
* offset from the most stable computed form: 0 meV/atom
* Fermi-level density of states: 0.00 states/eV per cell

Cell and atoms, written as CIF:
```
data_ThCdI6
_chemical_formula_sum 'Th2 Cd2 I12'
_cell_length_a 8.035
_cell_length_b 13.849
_cell_length_c 7.430
_cell_angle_alpha 90.00
_cell_angle_beta 91.32
_cell_angle_gamma 90.00
_symmetry_space_group_name_H-M 'P 1'
_symmetry_Int_Tables_number 1
loop_
_symmetry_equiv_pos_as_xyz
'x,y,z'
loop_
_atom_site_label
_atom_site_fract_x
_atom_site_fract_y
_atom_site_fract_z
Th1 0.000 0.000 0.000
Th2 0.500 0.500 0.000
Cd1 0.000 0.000 0.500
Cd2 0.500 0.500 0.500
I1 0.152 0.153 0.749
I2 0.152 0.847 0.749
I3 0.196 0.500 0.739
I4 0.304 0.000 0.261
I5 0.348 0.347 0.251
I6 0.348 0.653 0.251
I7 0.652 0.347 0.749
I8 0.652 0.653 0.749
I9 0.696 0.000 0.739
I10 0.804 0.500 0.261
I11 0.848 0.153 0.251
I12 0.848 0.847 0.251
```

***

2.
## TiCd3I (PBE)

Data for TiCd3I after structural relaxation.

Computed properties:
* theoretical density: 4.35 g/cm³
* SG: No. 221
* crystal system: cubic
* E_form (uncorrected): 1.15 eV/atom
* offset from the most stable computed form: 598 meV/atom
* Fermi-level density of states: 3.69 states/eV per cell

Cell and atoms, written as CIF:
```
data_TiCd3I
_chemical_formula_sum 'Ti1 Cd3 I1'
_cell_length_a 5.804
_cell_length_b 5.804
_cell_length_c 5.804
_cell_angle_alpha 90.00
_cell_angle_beta 90.00
_cell_angle_gamma 90.00
_symmetry_space_group_name_H-M 'P 1'
_symmetry_Int_Tables_number 1
loop_
_symmetry_equiv_pos_as_xyz
'x,y,z'
loop_
_atom_site_label
_atom_site_fract_x
_atom_site_fract_y
_atom_site_fract_z
Ti1 0.000 0.000 0.000
Cd1 0.000 0.500 0.500
Cd2 0.500 0.000 0.500
Cd3 0.500 0.500 0.000
I1 0.500 0.500 0.500
```

***

3.
## TiCd2I (PBE)

Data for TiCd2I after structural relaxation.

Computed properties:
* theoretical density: 6.13 g/cm³
* SG: No. 225
* crystal system: cubic
* E_form (uncorrected): 0.62 eV/atom
* offset from the most stable computed form: 308 meV/atom
* Fermi-level density of states: 14.77 states/eV per cell

Cell and atoms, written as CIF:
```
data_TiCd2I
_chemical_formula_sum 'Ti4 Cd8 I4'
_cell_length_a 7.565
_cell_length_b 7.565
_cell_length_c 7.565
_cell_angle_alpha 90.00
_cell_angle_beta 90.00
_cell_angle_gamma 90.00
_symmetry_space_group_name_H-M 'P 1'
_symmetry_Int_Tables_number 1
loop_
_symmetry_equiv_pos_as_xyz
'x,y,z'
loop_
_atom_site_label
_atom_site_fract_x
_atom_site_fract_y
_atom_site_fract_z
Ti1 0.000 0.000 0.000
Ti2 0.000 0.500 0.500
Ti3 0.500 0.000 0.500
Ti4 0.500 0.500 0.000
Cd1 0.250 0.250 0.250
Cd2 0.250 0.250 0.750
Cd3 0.250 0.750 0.250
Cd4 0.250 0.750 0.750
Cd5 0.750 0.250 0.250
Cd6 0.750 0.250 0.750
Cd7 0.750 0.750 0.250
Cd8 0.750 0.750 0.750
I1 0.000 0.000 0.500
I2 0.000 0.500 0.000
I3 0.500 0.000 0.000
I4 0.500 0.500 0.500
```

***

4.
## TiCd3I (PBE)

Data for TiCd3I after structural relaxation.

Computed properties:
* theoretical density: 4.74 g/cm³
* SG: No. 221
* crystal system: cubic
* E_form (uncorrected): 0.55 eV/atom
* offset from the most stable computed form: 0 meV/atom
* Fermi-level density of states: 10.40 states/eV per cell

Cell and atoms, written as CIF:
```
data_TiCd3I
_chemical_formula_sum 'Ti1 Cd3 I1'
_cell_length_a 5.641
_cell_length_b 5.641
_cell_length_c 5.641
_cell_angle_alpha 90.00
_cell_angle_beta 90.00
_cell_angle_gamma 90.00
_symmetry_space_group_name_H-M 'P 1'
_symmetry_Int_Tables_number 1
loop_
_symmetry_equiv_pos_as_xyz
'x,y,z'
loop_
_atom_site_label
_atom_site_fract_x
_atom_site_fract_y
_atom_site_fract_z
Ti1 0.000 0.000 0.000
Cd1 0.000 0.000 0.500
Cd2 0.000 0.500 0.000
Cd3 0.500 0.000 0.000
I1 0.500 0.500 0.500
```

***

5.
## TiCd2I (PBE)

Data for TiCd2I after structural relaxation.

Computed properties:
* theoretical density: 6.01 g/cm³
* SG: No. 122
* crystal system: tetragonal
* E_form (uncorrected): 0.31 eV/atom
* offset from the most stable computed form: 0 meV/atom
* Fermi-level density of states: 16.54 states/eV per cell

Cell and atoms, written as CIF:
```
data_TiCd2I
_chemical_formula_sum 'Ti4 Cd8 I4'
_cell_length_a 8.711
_cell_length_b 8.711
_cell_length_c 5.819
_cell_angle_alpha 90.00
_cell_angle_beta 90.00
_cell_angle_gamma 90.00
_symmetry_space_group_name_H-M 'P 1'
_symmetry_Int_Tables_number 1
loop_
_symmetry_equiv_pos_as_xyz
'x,y,z'
loop_
_atom_site_label
_atom_site_fract_x
_atom_site_fract_y
_atom_site_fract_z
Ti1 0.000 0.000 0.000
Ti2 0.000 0.500 0.250
Ti3 0.500 0.000 0.750
Ti4 0.500 0.500 0.500
Cd1 0.217 0.750 0.125
Cd2 0.250 0.217 0.875
Cd3 0.250 0.283 0.375
Cd4 0.283 0.750 0.625
Cd5 0.717 0.250 0.625
Cd6 0.750 0.717 0.375
Cd7 0.750 0.783 0.875
Cd8 0.783 0.250 0.125
I1 0.000 0.000 0.500
I2 0.000 0.500 0.750
I3 0.500 0.000 0.250
I4 0.500 0.500 0.000
```

***

6.
## TiCdI6 (PBE)

Data for TiCdI6 after structural relaxation.

Computed properties:
* theoretical density: 4.60 g/cm³
* SG: No. 12
* crystal system: monoclinic
* E_form (uncorrected): -0.57 eV/atom
* Fermi-level density of states: 0.66 states/eV per cell

Cell and atoms, written as CIF:
```
data_TiCdI6
_chemical_formula_sum 'Ti2 Cd2 I12'
_cell_length_a 7.261
_cell_length_b 13.590
_cell_length_c 7.251
_cell_angle_alpha 90.00
_cell_angle_beta 111.64
_cell_angle_gamma 90.00
_symmetry_space_group_name_H-M 'P 1'
_symmetry_Int_Tables_number 1
loop_
_symmetry_equiv_pos_as_xyz
'x,y,z'
loop_
_atom_site_label
_atom_site_fract_x
_atom_site_fract_y
_atom_site_fract_z
Ti1 0.000 0.000 0.000
Ti2 0.500 0.500 0.000
Cd1 0.000 0.500 0.500
Cd2 0.500 0.000 0.500
I1 0.227 0.000 0.776
I2 0.239 0.149 0.241
I3 0.239 0.851 0.241
I4 0.261 0.351 0.759
I5 0.261 0.649 0.759
I6 0.273 0.500 0.224
I7 0.727 0.500 0.776
I8 0.739 0.351 0.241
I9 0.739 0.649 0.241
I10 0.761 0.149 0.759
I11 0.761 0.851 0.759
I12 0.773 0.000 0.224
```

***

7.
## TiCdI2 (PBE)

Data for TiCdI2 after structural relaxation.

Computed properties:
* theoretical density: 4.66 g/cm³
* SG: No. 122
* crystal system: tetragonal
* E_form (uncorrected): -0.20 eV/atom
* offset from the most stable computed form: 0 meV/atom
* Fermi-level density of states: 13.44 states/eV per cell

Cell and atoms, written as CIF:
```
data_TiCdI2
_chemical_formula_sum 'Ti4 Cd4 I8'
_cell_length_a 9.895
_cell_length_b 9.895
_cell_length_c 6.032
_cell_angle_alpha 90.00
_cell_angle_beta 90.00
_cell_angle_gamma 90.00
_symmetry_space_group_name_H-M 'P 1'
_symmetry_Int_Tables_number 1
loop_
_symmetry_equiv_pos_as_xyz
'x,y,z'
loop_
_atom_site_label
_atom_site_fract_x
_atom_site_fract_y
_atom_site_fract_z
Ti1 0.000 0.000 0.000
Ti2 0.000 0.500 0.250
Ti3 0.500 0.000 0.750
Ti4 0.500 0.500 0.500
Cd1 0.000 0.000 0.500
Cd2 0.000 0.500 0.750
Cd3 0.500 0.000 0.250
Cd4 0.500 0.500 0.000
I1 0.109 0.750 0.125
I2 0.250 0.109 0.875
I3 0.250 0.391 0.375
I4 0.391 0.750 0.625
I5 0.609 0.250 0.625
I6 0.750 0.609 0.375
I7 0.750 0.891 0.875
I8 0.891 0.250 0.125
```

***

8.
## Ti2CdI (PBE)

Data for Ti2CdI after structural relaxation.

Computed properties:
* theoretical density: 5.92 g/cm³
* SG: No. 122
* crystal system: tetragonal
* E_form (uncorrected): 0.56 eV/atom
* offset from the most stable computed form: 174 meV/atom
* Fermi-level density of states: 17.55 states/eV per cell

Cell and atoms, written as CIF:
```
data_Ti2CdI
_chemical_formula_sum 'Ti8 Cd4 I4'
_cell_length_a 4.316
_cell_length_b 4.316
_cell_length_c 20.164
_cell_angle_alpha 90.00
_cell_angle_beta 90.00
_cell_angle_gamma 90.00
_symmetry_space_group_name_H-M 'P 1'
_symmetry_Int_Tables_number 1
loop_
_symmetry_equiv_pos_as_xyz
'x,y,z'
loop_
_atom_site_label
_atom_site_fract_x
_atom_site_fract_y
_atom_site_fract_z
Ti1 0.242 0.250 0.125
Ti2 0.250 0.742 0.375
Ti3 0.250 0.758 0.875
Ti4 0.258 0.250 0.625
Ti5 0.742 0.750 0.625
Ti6 0.750 0.242 0.875
Ti7 0.750 0.258 0.375
Ti8 0.758 0.750 0.125
Cd1 0.000 0.000 0.000
Cd2 0.000 0.500 0.250
Cd3 0.500 0.000 0.750
Cd4 0.500 0.500 0.500
I1 0.000 0.000 0.500
I2 0.000 0.500 0.750
I3 0.500 0.000 0.250
I4 0.500 0.500 0.000
```